! Ac3LaPr2S6, optimized geometry, DFT PBE; values from VASP
! Energy: -76.06 eV/f.u.
! Fermi-level density of states: 5.8 states/eV per cell
&SYSTEM
  ibrav = 0, nat = 12, ntyp = 4
/
ATOMIC_SPECIES
Ac 227.00 Ac.upf
La 138.91 La.upf
Pr 140.91 Pr.upf
S 32.06 S.upf
ATOMIC_POSITIONS crystal
Ac 0.167 0.833 0.500
Ac 0.833 0.167 0.500
Ac 0.500 0.500 0.500
La 0.000 0.000 0.000
Pr 0.333 0.667 0.000
Pr 0.667 0.333 0.000
S 0.920 0.586 0.761
S 0.745 0.745 0.239
S 0.080 0.414 0.239
S 0.586 0.920 0.761
S 0.255 0.255 0.761
S 0.414 0.080 0.239
CELL_PARAMETERS angstrom
-1.072 -1.285 -7.104
0.796 -5.572 4.645
-6.713 2.197 1.869